Entry 1:
Computed, not measured: a relaxed NaSO2F crystal at the GGA-PBE level of DFT.

Cell and atoms, written as POSCAR:
```
NaSO2F
1.0
4.459 0.000 0.000
0.000 4.459 0.000
0.000 0.000 4.194
Na S O F
1 1 2 1
direct
0.000 0.000 0.000
0.500 0.500 0.500
0.000 0.500 0.000
0.500 0.000 0.000
0.000 0.000 0.500
```

Computed properties:
* formation energy (no corrections): 0.572 eV per atom
* E_tot: -14.376 eV for the cell shown
* space-group type: No. 123
* magnetic moment: 1.84 Bohr magnetons per cell

Entry 2:
Computed, not measured: a relaxed La2AsRu crystal at the GGA-PBE level of DFT.

Cell and atoms, written as POSCAR:
```
La2AsRu
1.0
3.755 0.000 0.000
0.000 3.755 0.000
0.000 0.000 6.892
La As Ru
2 1 1
direct
0.000 0.000 0.249
0.000 0.000 0.751
0.500 0.500 0.000
0.500 0.500 0.500
```

Computed properties:
* E_tot: -26.199 eV for the cell shown
* space-group type: No. 123
* magnetic moment: 0.00 Bohr magnetons per cell

Entry 3:
Computed, not measured: a relaxed FeSbAs crystal at the GGA-PBE level of DFT.

Cell and atoms, written as POSCAR:
```
FeSbAs
1.0
13.269 0.000 0.000
0.000 3.218 0.000
-0.277 0.000 5.263
Fe Sb As
4 4 4
direct
0.000 0.000 0.000
0.180 0.000 0.751
0.500 0.500 0.000
0.680 0.500 0.751
0.008 0.000 0.504
0.352 0.000 0.971
0.508 0.500 0.504
0.852 0.500 0.971
0.129 0.500 0.056
0.242 0.500 0.463
0.629 0.000 0.056
0.742 0.000 0.463
```

Computed properties:
* formation energy (no corrections): 0.027 eV per atom
* E_tot: -68.619 eV for the cell shown
* space-group type: No. 8
* magnetic moment: 2.61 Bohr magnetons per cell
* E above lowest polymorph: 158 meV/atom